Record 1
Material: Ho2TmSc6
Method: DFT, PBE
State: optimized geometry

a b c (Å): 3.385 3.385 24.272
angles (deg): 90.00 90.00 120.00
Sites, in units of the cell vectors:
Ho: 0.333 0.667 0.327
Ho: 0.333 0.667 0.673
Tm: 0.000 0.000 0.000
Sc: 0.333 0.667 0.889
Sc: 0.000 0.000 0.438
Sc: 0.000 0.000 0.785
Sc: 0.000 0.000 0.215
Sc: 0.000 0.000 0.562
Sc: 0.333 0.667 0.111

## Properties
ΔE to the lowest computed polymorph: 0.08 eV/f.u.
Formation energy from the elements: 0.072 eV/atom

---

Record 2
Material: ScCr2Mo
Method: DFT, PBE
State: optimized geometry

a b c (Å): 5.234 5.234 5.234
angles (deg): 139.54 139.54 58.55
Site moments in Bohr magnetons follow the coordinates.
Sites, in units of the cell vectors:
Cr: 0.000 0.000 0.000  -0.31
Cr: 0.250 0.750 0.500  0.54
Mo: 0.500 0.500 0.000  0.01
Sc: 0.750 0.250 0.500  -0.01

## Properties
ΔE to the lowest computed polymorph: 0.98 eV/f.u.
Formation energy from the elements: 0.436 eV/atom

---

Record 3
Material: KHfZr3
Method: DFT, PBE
State: optimized geometry

a b c (Å): 4.949 4.949 4.949
angles (deg): 90.00 90.00 90.00
Site moments in Bohr magnetons follow the coordinates.
Sites, in units of the cell vectors:
K: 0.000 0.000 0.000  0.22
Hf: 0.500 0.500 0.500  -0.01
Zr: 0.000 0.500 0.000  0.32
Zr: 0.000 0.000 0.500  0.45
Zr: 0.500 0.000 0.000  0.28

## Properties
ΔE to the lowest computed polymorph: 3.39 eV/f.u.
Formation energy from the elements: 1.813 eV/atom

---

Record 4
Material: MoPd8Au6
Method: DFT, PBE
State: optimized geometry

a b c (Å): 5.032 7.688 7.688
angles (deg): 120.00 90.00 90.00
Sites, in units of the cell vectors:
Mo: 0.500 0.000 0.000
Pd: 0.800 0.051 0.273
Pd: 0.800 0.727 0.779
Pd: 0.800 0.221 0.949
Pd: 0.200 0.949 0.727
Pd: 0.200 0.273 0.221
Pd: 0.200 0.779 0.051
Pd: 0.801 0.333 0.667
Pd: 0.199 0.667 0.333
Au: 0.706 0.639 0.102
Au: 0.706 0.898 0.536
Au: 0.706 0.464 0.361
Au: 0.294 0.361 0.898
Au: 0.294 0.102 0.464
Au: 0.294 0.536 0.639

## Properties
Formation energy from the elements: 0.092 eV/atom

---

Record 5
Material: K3ZnIn3Br8
Method: DFT, PBE
State: optimized geometry

a b c (Å): 9.318 9.313 9.344
angles (deg): 119.84 90.00 120.02
Sites, in units of the cell vectors:
K: 0.500 0.000 0.500
K: 0.500 0.500 0.500
K: 0.000 0.500 0.500
Zn: 0.000 0.000 0.500
In: 0.000 0.000 0.000
In: 0.000 0.500 0.000
In: 0.500 0.500 0.000
Br: 0.252 0.503 0.255
Br: 0.748 0.497 0.745
Br: 0.795 0.590 0.295
Br: 0.205 0.410 0.705
Br: 0.795 0.001 0.296
Br: 0.205 0.999 0.704
Br: 0.205 0.001 0.296
Br: 0.795 0.999 0.704

## Properties
DFT total energy: -42.7 eV for the cell shown

---

Record 6
Material: ZrSb2Ir
Method: DFT, PBE
State: optimized geometry

a b c (Å): 3.241 3.241 8.706
angles (deg): 90.00 90.00 89.98
Sites, in units of the cell vectors:
Ir: 0.500 0.500 0.735
Sb: 0.000 0.000 0.933
Sb: 0.500 0.500 0.288
Zr: 0.000 0.000 0.545

## Properties
ΔE to the lowest computed polymorph: 0.12 eV/f.u.

---

Record 7
Material: HfFe2Tc
Method: DFT, PBE
State: optimized geometry

a b c (Å): 3.163 4.268 4.268
angles (deg): 90.00 90.00 90.00
Site moments in Bohr magnetons follow the coordinates.
Sites, in units of the cell vectors:
Hf: 0.500 0.000 0.000  -0.40
Tc: 0.500 0.500 0.500  0.56
Fe: 0.000 0.000 0.500  1.98
Fe: 0.000 0.500 0.000  1.98

## Properties
ΔE to the lowest computed polymorph: 0.00 eV/f.u.
Formation energy from the elements: -0.049 eV/atom

---

Record 8
Material: YNbTc2Se
Method: DFT, PBE
State: optimized geometry

a b c (Å): 4.574 5.052 4.574
angles (deg): 90.00 90.00 90.00
Sites, in units of the cell vectors:
Y: 0.000 0.500 0.000
Nb: 0.500 0.500 0.500
Tc: 0.000 0.000 0.500
Tc: 0.500 0.000 0.000
Se: 0.000 0.000 0.000

## Properties
DFT total energy: -36.9 eV for the cell shown

---

Record 9
Material: Tb2Pm4MgSc
Method: DFT, PBE
State: optimized geometry

a b c (Å): 5.031 5.031 11.005
angles (deg): 62.76 90.00 90.00
Sites, in units of the cell vectors:
Tb: 0.000 0.000 0.000
Tb: 0.500 0.000 0.500
Pm: 0.000 0.752 0.749
Pm: 0.000 0.248 0.251
Pm: 0.500 0.748 0.252
Pm: 0.500 0.252 0.748
Mg: 0.500 0.500 0.000
Sc: 0.000 0.500 0.500

## Properties
Formation energy from the elements: 0.019 eV/atom

---

Record 10
Material: Rb3Tl7Bi2
Method: DFT, PBE
State: optimized geometry

a b c (Å): 7.105 5.024 18.843
angles (deg): 105.73 51.77 90.24
Sites, in units of the cell vectors:
Rb: 0.500 0.500 0.000
Rb: 0.410 0.874 0.378
Rb: 0.590 0.126 0.622
Tl: 0.910 0.234 0.728
Tl: 0.189 0.589 0.583
Tl: 0.000 0.000 0.000
Tl: 0.090 0.766 0.272
Tl: 0.461 0.193 0.199
Tl: 0.539 0.807 0.801
Tl: 0.811 0.411 0.417
Bi: 0.057 0.802 0.795
Bi: 0.943 0.198 0.205

## Properties
Formation energy from the elements: -0.085 eV/atom

---

Record 11
Material: K2CoSb
Method: DFT, PBE
State: optimized geometry

a b c (Å): 5.110 5.110 5.070
angles (deg): 90.00 90.00 113.44
Site moments in Bohr magnetons follow the coordinates.
Sites, in units of the cell vectors:
Co: 0.000 0.500 0.500  1.92
K: 0.000 0.000 0.000  0.00
K: 0.500 0.500 0.000  0.00
Sb: 0.500 0.000 0.500  0.12

## Properties
DFT total energy: -11.6 eV for the cell shown

---

Record 12
Material: Tb6Ce2PrEr3
Method: DFT, PBE
State: optimized geometry

a b c (Å): 6.150 6.150 11.779
angles (deg): 94.99 94.99 120.01
Site moments in Bohr magnetons follow the coordinates.
Sites, in units of the cell vectors:
Tb: 0.915 0.579 0.748  0.01
Tb: 0.748 0.748 0.252  0.01
Tb: 0.085 0.421 0.252  0.01
Tb: 0.579 0.915 0.748  0.01
Tb: 0.252 0.252 0.748  0.01
Tb: 0.421 0.085 0.252  0.01
Ce: 0.333 0.667 0.000  0.73
Ce: 0.667 0.333 0.000  0.73
Pr: 0.000 0.000 0.000  0.01
Er: 0.166 0.834 0.500  -0.02
Er: 0.834 0.166 0.500  -0.02
Er: 0.500 0.500 0.500  -0.02

## Properties
Formation energy from the elements: 0.053 eV/atom

---

Copy entry 6 word for word.
Material: ZrSb2Ir
Method: DFT, PBE
State: optimized geometry

a b c (Å): 3.241 3.241 8.706
angles (deg): 90.00 90.00 89.98
Sites, in units of the cell vectors:
Ir: 0.500 0.500 0.735
Sb: 0.000 0.000 0.933
Sb: 0.500 0.500 0.288
Zr: 0.000 0.000 0.545

## Properties
ΔE to the lowest computed polymorph: 0.12 eV/f.u.

---

> What is the formula in the sixth record?

ZrSb2Ir